The following is a DFT calculation (PBE) of crystalline Tm2In8Pd at its relaxed geometry.

The structure belongs to space group P4/mmm (No. 123); the cell edges are 4.6669, 4.6669 and 12.0560 Å and the angles 90.00°, 90.00° and 90.00°. The distinct sites, in fractional coordinates, are Tm at (0.0000, 0.0000, 0.1872), In at (0.0000, 0.5000, 0.0000), In at (0.0000, 0.5000, 0.3718), In at (0.5000, 0.5000, 0.1899) and Pd at (0.0000, 0.0000, 0.5000).

As for the final energy: -3.645 eV per atom. The total moment comes out at 0.00 Bohr magnetons per cell.

The following is a DFT calculation (PBE) of crystalline LiHoTl at its relaxed geometry.

The structure belongs to space group F-43m (No. 216); the cell edges are 7.0422, 7.0422 and 7.0422 Å and the angles 90.00°, 90.00° and 90.00°. The distinct sites, in fractional coordinates, are Li at (0.0000, 0.0000, 0.0000), Ho at (0.2500, 0.2500, 0.2500) and Tl at (0.0000, 0.0000, 0.5000).

As for the final energy: -2.660 eV per atom. The value obtained for the energy above the lowest structure with this stoichiometry is 309 meV per atom. The total moment comes out at 2.21 Bohr magnetons per cell.